(1)
A plane-wave DFT calculation with PBE was carried out for a geometry-optimized ScTlCl structure.

Cell and atoms, written as POSCAR:
```
ScTlCl
1.0
-2.367 2.072 -1.445
1.336 -2.629 -1.812
-5.691 -4.687 2.604
Sc Cl Tl
1 1 1
direct
0.667 0.333 0.301
0.000 0.000 0.091
0.333 0.667 0.608
```

Summary:
- energy above the most stable polymorph in this dataset (eV/atom) = 0.000
- space-group type = P3m1, No. 156
- size of the total moment (μB/f.u.) = 0.000



(2)
A plane-wave DFT calculation with PBE was carried out for a geometry-optimized Sc3Tl6Cl14 structure.

Cell and atoms, written as POSCAR:
```
Sc3Tl6Cl14
1.0
6.901 0.000 0.000
0.000 9.855 -5.690
0.000 0.000 11.379
Cl Tl Sc
14 6 3
direct
0.659 0.456 0.253
0.659 0.747 0.203
0.239 0.591 0.470
0.491 0.199 0.755
0.239 0.879 0.409
0.960 0.071 0.220
0.491 0.245 0.444
0.960 0.780 0.851
0.659 0.797 0.544
0.960 0.149 0.929
0.239 0.530 0.121
0.491 0.556 0.801
0.479 0.000 0.000
0.013 0.333 0.667
0.265 0.791 0.090
0.265 0.299 0.209
0.265 0.910 0.701
0.794 0.538 0.553
0.794 0.015 0.462
0.794 0.447 0.985
0.359 0.333 0.667
0.443 0.667 0.333
0.826 0.000 0.000
```

Summary:
- space-group type = P3, No. 143
- size of the total moment (μB/f.u.) = 1.144



Number 1: formation energy from raw total energies -82.8 kJ per mole of atoms, total DFT energy (no corrections) -13.12 eV/cell. Number 2: formation energy from raw total energies -144.1 kJ per mole of atoms, total DFT energy (no corrections) -93.40 eV/cell.